No. 1
Mn3BeSn after structural relaxation, computed with PBE-GGA.

```
Mn3BeSn
1.0
4.2596 0.0000 0.0000
0.0000 4.2596 0.0000
0.0000 0.0000 4.2596
Be Mn Sn
1 3 1
Direct
0.0000 0.0000 0.0000
0.0000 0.5000 0.0000
0.0000 0.0000 0.5000
0.5000 0.0000 0.0000
0.5000 0.5000 0.5000
```

Formation energy   0.320 eV/atom
E_tot   -0.4945 Ry per atom

=====

No. 2
Zr2PW after structural relaxation, computed with PBE-GGA.

```
Zr2PW
1.0
-2.2391 7.4243 -1.1859
-4.8467 6.1367 0.6244
-2.0291 7.2427 2.2284
Zr P W
2 1 1
Direct
0.7587 0.7587 0.7587
0.2413 0.2413 0.2413
0.5000 0.5000 0.5000
0.0000 0.0000 0.0000
```

Formation energy   -0.315 eV/atom
E_tot   -0.6747 Ry per atom

=====

No. 3
Pm6P2SCl3 after structural relaxation, computed with PBE-GGA.

```
Pm6P2SCl3
1.0
4.1349 0.0000 0.0000
0.0000 8.2326 0.1944
-2.0675 -2.4833 8.6732
Pm P S Cl
6 2 1 3
Direct
0.3422 0.8966 0.6843
0.6747 0.5642 0.3494
0.6578 0.1034 0.3157
0.0071 0.2267 0.0141
0.9929 0.7733 0.9859
0.3253 0.4358 0.6506
0.8343 0.6671 0.6687
0.1657 0.3329 0.3313
0.5000 0.0000 0.0000
0.5000 0.5000 0.0000
0.8307 0.1644 0.6615
0.1693 0.8356 0.3385
```

E_tot   -0.4208 Ry per atom
Formation energy without anion corrections   -37.9 kcal/mol of atoms

=====

Which of these has the lowest E_tot? Zr2PW